# PBE-GGA BeCoAgMo, optimized geometry
data_BeCoAgMo
_chemical_formula_sum 'Be1 Co1 Ag1 Mo1'
_cell_length_a 4.165
_cell_length_b 4.165
_cell_length_c 4.165
_cell_angle_alpha 60.00
_cell_angle_beta 60.00
_cell_angle_gamma 60.00
_space_group_name_H-M_alt 'P 1'
_space_group_IT_number 1
loop_
_space_group_symop_operation_xyz
'x,y,z'
loop_
_atom_site_label
_atom_site_type_symbol
_atom_site_fract_x
_atom_site_fract_y
_atom_site_fract_z
Ag1 Ag 0.500 0.500 0.500
Co1 Co 0.250 0.250 0.250
Mo1 Mo 0.000 0.000 0.000
Be1 Be 0.750 0.750 0.750
# Density = 8.83 g/cm3
# Polymorph energy (0 for the lowest one) = 0 meV per atom
# E = -23.44 eV/f.u.
# Total magnetic moment = 0.00 μB per formula unit
# Space-group type = F-43m, No. 216